Record 1
# WF6

A geometry-optimized WF6 structure (PBE+U, Alexandria via LeMat-Bulk).

- Fermi-level density of states (states/eV/atom) = 0.000
- space group = P-31m, No. 162

Cell: 5.0098 5.2609 5.2609 Å, 120.00 90.00 90.00°
Positions (direct):
F 0.7831 0.0000 0.2916
F 0.2169 0.7084 0.0000
F 0.7831 0.2916 0.0000
F 0.2169 0.0000 0.7084
F 0.2169 0.2916 0.2916
F 0.7831 0.7084 0.7084
W 0.0000 0.0000 0.0000


Record 2
# CrGePdO

A geometry-optimized CrGePdO structure (PBE+U, Alexandria via LeMat-Bulk).

- Fermi-level density of states (states/eV/atom) = 0.235
- space group = P3m1, No. 156

Cell: 3.0018 3.0018 7.7953 Å, 90.00 90.00 120.00°
Each line ends with the local moment (μB).
Positions (direct):
Cr 0.0000 0.0000 0.6676  3.33
Pd 0.6667 0.3333 0.2620  0.10
O 0.6667 0.3333 0.5491  -0.11
Ge 0.6667 0.3333 0.9613  -0.04


Number 1: volume 17.2 Å³/atom, ρ 4.1 g/cm³, energy -5.263 eV/atom. Number 2: volume 15.2 Å³/atom, ρ 6.7 g/cm³, energy -6.042 eV/atom.